Arrangement w

Here is crystalline ReSi2Br at its relaxed geometry from Alexandria. Energies are from PBE.

## Properties
Spin magnetization in μB/atom: 0.0000

a = 6.3100 Å, b = 6.3100 Å, c = 6.3100 Å
α = 90.00°, β = 90.00°, γ = 90.00°
Atoms (fractional coordinates):
Re: 0.0000 0.0000 0.0000
Re: 0.0000 0.5000 0.5000
Re: 0.5000 0.0000 0.5000
Re: 0.5000 0.5000 0.0000
Si: 0.0000 0.0000 0.5000
Si: 0.0000 0.5000 0.0000
Si: 0.2500 0.2500 0.2500
Si: 0.2500 0.7500 0.7500
Si: 0.5000 0.0000 0.0000
Si: 0.5000 0.5000 0.5000
Si: 0.7500 0.2500 0.7500
Si: 0.7500 0.7500 0.2500
Br: 0.2500 0.2500 0.7500
Br: 0.2500 0.7500 0.2500
Br: 0.7500 0.2500 0.2500
Br: 0.7500 0.7500 0.7500

---

Arrangement x

Here is crystalline ReSi2Br at its relaxed geometry from Alexandria. Energies are from PBE.

## Properties
Spin magnetization in μB/atom: 0.0000

a = 3.2063 Å, b = 3.2063 Å, c = 23.0229 Å
α = 90.00°, β = 90.00°, γ = 120.00°
Atoms (fractional coordinates):
Re: 0.0000 0.0000 0.0000
Re: 0.3333 0.6667 0.6667
Re: 0.6667 0.3333 0.3333
Si: 0.0000 0.0000 0.2610
Si: 0.0000 0.0000 0.7390
Si: 0.3333 0.6667 0.4057
Si: 0.3333 0.6667 0.9277
Si: 0.6667 0.3333 0.0723
Si: 0.6667 0.3333 0.5943
Br: 0.0000 0.0000 0.5000
Br: 0.3333 0.6667 0.1667
Br: 0.6667 0.3333 0.8333

---

Arrangement y

Here is crystalline ReSi2Br at its relaxed geometry from Alexandria. Energies are from PBE.

## Properties
Spin magnetization in μB/atom: 0.0000

a = 3.0291 Å, b = 3.0291 Å, c = 26.8329 Å
α = 90.00°, β = 90.00°, γ = 120.00°
Atoms (fractional coordinates):
Re: 0.0000 0.0000 0.0000
Re: 0.3333 0.6667 0.6667
Re: 0.6667 0.3333 0.3333
Si: 0.0000 0.0000 0.2660
Si: 0.0000 0.0000 0.5262
Si: 0.3333 0.6667 0.1929
Si: 0.3333 0.6667 0.9326
Si: 0.6667 0.3333 0.5993
Si: 0.6667 0.3333 0.8595
Br: 0.0000 0.0000 0.7415
Br: 0.3333 0.6667 0.4082
Br: 0.6667 0.3333 0.0749

---

Arrangement z

Here is crystalline ReSi2Br at its relaxed geometry from Alexandria. Energies are from PBE.

## Properties
Spin magnetization in μB/atom: 0.0000

a = 5.5622 Å, b = 7.4266 Å, c = 3.0253 Å
α = 90.00°, β = 90.00°, γ = 90.00°
Atoms (fractional coordinates):
Re: 0.0000 0.0000 0.0000
Re: 0.5000 0.5000 0.0000
Si: 0.2500 0.2500 0.5000
Si: 0.2500 0.7500 0.5000
Si: 0.7500 0.2500 0.5000
Si: 0.7500 0.7500 0.5000
Br: 0.0000 0.5000 0.0000
Br: 0.5000 0.0000 0.0000

---

Most stable to least stable, the ends of the list are arrangement x and arrangement w.

---

Arrangement w

Here is crystalline ReSi2Br at its relaxed geometry from Alexandria. Energies are from PBE.

## Properties
Spin magnetization in μB/atom: 0.0001

a = 4.8600 Å, b = 4.8600 Å, c = 2.7845 Å
α = 90.00°, β = 90.00°, γ = 90.00°
Atoms (fractional coordinates):
Re: 0.0000 0.0000 0.0000
Si: 0.0000 0.5000 0.5000
Si: 0.5000 0.0000 0.5000
Br: 0.5000 0.5000 0.0000

---

Arrangement x

Here is crystalline ReSi2Br at its relaxed geometry from Alexandria. Energies are from PBE.

## Properties
Spin magnetization in μB/atom: 0.0000

a = 3.0112 Å, b = 5.0815 Å, c = 9.2553 Å
α = 90.00°, β = 90.00°, γ = 90.00°
Atoms (fractional coordinates):
Re: 0.0000 0.0000 0.0000
Re: 0.5000 0.5000 0.0000
Si: 0.0000 0.0000 0.5740
Si: 0.0000 0.5000 0.7956
Si: 0.5000 0.0000 0.7956
Si: 0.5000 0.5000 0.5740
Br: 0.0000 0.5000 0.2450
Br: 0.5000 0.0000 0.2450

---

Most stable to least stable, the ends of the list are arrangement x and arrangement w.

---

Arrangement w

Here is crystalline ReSi2Br at its relaxed geometry from Alexandria. Energies are from PBE.

## Properties
Spin magnetization in μB/atom: 0.0000

a = 3.8695 Å, b = 3.8178 Å, c = 5.8636 Å
α = 90.00°, β = 90.02°, γ = 90.00°
Atoms (fractional coordinates):
Re: 0.0000 0.0000 0.0000
Si: 0.0891 0.5000 0.7682
Si: 0.5076 0.0000 0.7703
Br: 0.9314 0.5000 0.3218

---

Arrangement x

Here is crystalline ReSi2Br at its relaxed geometry from Alexandria. Energies are from PBE.

## Properties
Spin magnetization in μB/atom: 0.0000

a = 3.0827 Å, b = 3.0827 Å, c = 7.2658 Å
α = 90.00°, β = 90.00°, γ = 90.00°
Atoms (fractional coordinates):
Re: 0.0000 0.0000 0.0000
Si: 0.5000 0.5000 0.1877
Si: 0.5000 0.5000 0.8123
Br: 0.0000 0.0000 0.5000

---

Arrangement y

Here is crystalline ReSi2Br at its relaxed geometry from Alexandria. Energies are from PBE.

## Properties
Spin magnetization in μB/atom: 0.0000

a = 2.9007 Å, b = 4.7277 Å, c = 10.6259 Å
α = 90.00°, β = 90.00°, γ = 90.00°
Atoms (fractional coordinates):
Re: 0.0000 0.0000 0.0000
Re: 0.5000 0.5000 0.5000
Si: 0.0000 0.5000 0.3053
Si: 0.0000 0.5000 0.6947
Si: 0.5000 0.0000 0.1947
Si: 0.5000 0.0000 0.8053
Br: 0.0000 0.0000 0.5000
Br: 0.5000 0.5000 0.0000

---

Most stable to least stable, the ends of the list are arrangement x and arrangement y.

---

Arrangement w

Here is crystalline ReSi2Br at its relaxed geometry from Alexandria. Energies are from PBE.

## Properties
Spin magnetization in μB/atom: 0.0001

a = 3.3083 Å, b = 4.4474 Å, c = 11.2820 Å
α = 90.00°, β = 90.00°, γ = 90.00°
Atoms (fractional coordinates):
Re: 0.0000 0.0000 0.0000
Re: 0.5000 0.5000 0.0000
Si: 0.0000 0.5000 0.1703
Si: 0.0000 0.5000 0.8297
Si: 0.5000 0.0000 0.1703
Si: 0.5000 0.0000 0.8297
Br: 0.0000 0.0000 0.5000
Br: 0.5000 0.5000 0.5000

---

Arrangement x

Here is crystalline ReSi2Br at its relaxed geometry from Alexandria. Energies are from PBE.

## Properties
Spin magnetization in μB/atom: 0.0000

a = 3.0989 Å, b = 3.1151 Å, c = 7.1284 Å
α = 90.00°, β = 90.00°, γ = 90.00°
Atoms (fractional coordinates):
Re: 0.0000 0.0000 0.0000
Si: 0.5000 0.5000 0.1883
Si: 0.5000 0.5000 0.8117
Br: 0.0000 0.5000 0.5000

---

Most stable to least stable, the ends of the list are arrangement x and arrangement w.

---

Arrangement w

Here is crystalline ReSi2Br at its relaxed geometry from Alexandria. Energies are from PBE.

## Properties
Spin magnetization in μB/atom: 0.0000

a = 5.9096 Å, b = 5.9096 Å, c = 11.4970 Å
α = 90.00°, β = 90.00°, γ = 90.00°
Atoms (fractional coordinates):
Re: 0.0000 0.0000 0.0000
Re: 0.0000 0.5000 0.2500
Re: 0.5000 0.0000 0.7500
Re: 0.5000 0.5000 0.5000
Si: 0.1774 0.2500 0.1250
Si: 0.2500 0.6774 0.3750
Si: 0.2500 0.8226 0.8750
Si: 0.3226 0.2500 0.6250
Si: 0.6774 0.7500 0.6250
Si: 0.7500 0.1774 0.8750
Si: 0.7500 0.3226 0.3750
Si: 0.8226 0.7500 0.1250
Br: 0.0000 0.0000 0.5000
Br: 0.0000 0.5000 0.7500
Br: 0.5000 0.0000 0.2500
Br: 0.5000 0.5000 0.0000

---

Arrangement x

Here is crystalline ReSi2Br at its relaxed geometry from Alexandria. Energies are from PBE.

## Properties
Spin magnetization in μB/atom: 0.0000

a = 3.1447 Å, b = 3.1447 Å, c = 7.6366 Å
α = 90.00°, β = 90.00°, γ = 90.00°
Atoms (fractional coordinates):
Re: 0.0000 0.0000 0.0000
Si: 0.0000 0.0000 0.3287
Si: 0.5000 0.5000 0.1549
Br: 0.5000 0.5000 0.7495

---

Most stable to least stable, the ends of the list are arrangement x and arrangement w.

---

Arrangement w

Here is crystalline SmReBr at its relaxed geometry from Alexandria. Energies are from PBE.

## Properties
Spin magnetization in μB/atom: 0.0000

a = 4.1697 Å, b = 4.1700 Å, c = 11.9432 Å
α = 99.61°, β = 90.07°, γ = 119.99°
Atoms (fractional coordinates):
Sm: 0.0000 0.0000 0.0000
Sm: 0.1230 0.2432 0.3807
Re: 0.3911 0.7809 0.1787
Re: 0.7320 0.4624 0.2019
Br: 0.6154 0.2321 0.8419
Br: 0.8416 0.6798 0.5422

---

Arrangement x

Here is crystalline SmReBr at its relaxed geometry from Alexandria. Energies are from PBE.

## Properties
Spin magnetization in μB/atom: 0.0000

a = 11.9211 Å, b = 11.9211 Å, c = 11.9211 Å
α = 20.07°, β = 20.07°, γ = 20.07°
Atoms (fractional coordinates):
Sm: 0.0632 0.0632 0.0632
Sm: 0.9368 0.9368 0.9368
Re: 0.3394 0.3394 0.3394
Re: 0.6606 0.6606 0.6606
Br: 0.2168 0.2168 0.2168
Br: 0.7832 0.7832 0.7832

---

Most stable to least stable, the ends of the list are arrangement x and arrangement w.

---

Arrangement w

Here is crystalline Re2SnBr at its relaxed geometry from Alexandria. Energies are from PBE.

## Properties
Spin magnetization in μB/atom: 0.0000

a = 6.1045 Å, b = 6.1045 Å, c = 10.2920 Å
α = 90.00°, β = 90.00°, γ = 90.00°
Atoms (fractional coordinates):
Re: 0.2140 0.2500 0.1250
Re: 0.2500 0.7140 0.3750
Re: 0.2500 0.7860 0.8750
Re: 0.2860 0.2500 0.6250
Re: 0.7140 0.7500 0.6250
Re: 0.7500 0.2140 0.8750
Re: 0.7500 0.2860 0.3750
Re: 0.7860 0.7500 0.1250
Sn: 0.0000 0.0000 0.5000
Sn: 0.0000 0.5000 0.7500
Sn: 0.5000 0.0000 0.2500
Sn: 0.5000 0.5000 0.0000
Br: 0.0000 0.0000 0.0000
Br: 0.0000 0.5000 0.2500
Br: 0.5000 0.0000 0.7500
Br: 0.5000 0.5000 0.5000

---

Arrangement x

Here is crystalline Re2SnBr at its relaxed geometry from Alexandria. Energies are from PBE.

## Properties
Spin magnetization in μB/atom: 0.0000

a = 6.5074 Å, b = 6.5074 Å, c = 6.5074 Å
α = 90.00°, β = 90.00°, γ = 90.00°
Atoms (fractional coordinates):
Re: 0.2500 0.2500 0.2500
Re: 0.2500 0.2500 0.7500
Re: 0.2500 0.7500 0.2500
Re: 0.2500 0.7500 0.7500
Re: 0.7500 0.2500 0.2500
Re: 0.7500 0.2500 0.7500
Re: 0.7500 0.7500 0.2500
Re: 0.7500 0.7500 0.7500
Sn: 0.0000 0.0000 0.0000
Sn: 0.0000 0.5000 0.5000
Sn: 0.5000 0.0000 0.5000
Sn: 0.5000 0.5000 0.0000
Br: 0.0000 0.0000 0.5000
Br: 0.0000 0.5000 0.0000
Br: 0.5000 0.0000 0.0000
Br: 0.5000 0.5000 0.5000

---

Most stable to least stable, the ends of the list are arrangement x and arrangement w.

---

Arrangement w

Here is crystalline ReSn3Br at its relaxed geometry from Alexandria. Energies are from PBE.

## Properties
Spin magnetization in μB/atom: 0.0000

a = 5.2091 Å, b = 5.2091 Å, c = 5.2091 Å
α = 90.00°, β = 90.00°, γ = 90.00°
Atoms (fractional coordinates):
Re: 0.0000 0.0000 0.0000
Sn: 0.0000 0.0000 0.5000
Sn: 0.0000 0.5000 0.0000
Sn: 0.5000 0.0000 0.0000
Br: 0.5000 0.5000 0.5000

---

Arrangement x

Here is crystalline ReSn3Br at its relaxed geometry from Alexandria. Energies are from PBE.

## Properties
Spin magnetization in μB/atom: 0.7908

a = 5.4365 Å, b = 5.4365 Å, c = 5.4365 Å
α = 90.00°, β = 90.00°, γ = 90.00°
Atoms (fractional coordinates):
Re: 0.0000 0.0000 0.0000
Sn: 0.0000 0.5000 0.5000
Sn: 0.5000 0.0000 0.5000
Sn: 0.5000 0.5000 0.0000
Br: 0.5000 0.5000 0.5000

---

Most stable to least stable, the ends of the list are arrangement w and arrangement x.